Material: IrOs2
Method: DFT, PBE
State: relaxed

a b c (Å): 6.020 6.020 6.020
angles (deg): 90.00 90.00 90.00
Atoms (fractional coordinates):
Os1 0.891 0.109 0.609
Os2 0.609 0.891 0.109
Os3 0.391 0.391 0.391
Os4 0.391 0.109 0.891
Os5 0.109 0.891 0.391
Os6 0.609 0.609 0.609
Os7 0.109 0.609 0.891
Os8 0.891 0.391 0.109
Ir1 0.500 0.500 0.000
Ir2 0.000 0.500 0.500
Ir3 0.500 0.000 0.500
Ir4 0.000 0.000 0.000

Values from the calculation:
DFT formation energy, eV per atom: 1.140
Energy relative to the lowest polymorph listed for this composition, eV per atom: 1.142
Space group: Pa-3 (205)
Magnetization, μB per formula unit: 0.00
Crystal system: cubic